[1]
! PBE CaTlGa, optimized geometry; values from VASP
! ΔE_f (eV per atom): -0.32
! Space group: P4/nmm, No. 129
&SYSTEM
  ibrav = 0, nat = 6, ntyp = 3
/
ATOMIC_SPECIES
Tl 204.38 Tl.upf
Ca 40.08 Ca.upf
Ga 69.72 Ga.upf
ATOMIC_POSITIONS crystal
Tl 0.000 0.500 0.244
Tl 0.500 0.000 0.756
Ca 0.000 0.500 0.798
Ca 0.500 0.000 0.202
Ga 0.000 0.000 0.500
Ga 0.500 0.500 0.500
CELL_PARAMETERS angstrom
-1.309 1.704 -4.142
-4.035 -2.322 0.320
-3.069 5.796 3.354


[2]
! PBE Sm2Er3S6, optimized geometry; values from VASP
! Uncorrected formation energy (eV/atom): -2.07
! Space group: C2/m, No. 12
&SYSTEM
  ibrav = 0, nat = 11, ntyp = 3
/
ATOMIC_SPECIES
Sm 150.36 Sm.upf
Er 167.26 Er.upf
S 32.06 S.upf
ATOMIC_POSITIONS crystal
Sm 0.165 0.669 0.500
Sm 0.835 0.331 0.500
Er 0.000 0.000 0.000
Er 0.336 0.327 0.000
Er 0.664 0.673 0.000
S 0.413 0.668 0.762
S 0.744 0.000 0.757
S 0.081 0.332 0.762
S 0.256 0.000 0.243
S 0.587 0.332 0.238
S 0.919 0.668 0.238
CELL_PARAMETERS angstrom
6.510 0.000 1.934
3.255 5.858 0.967
0.330 0.000 6.803


[3]
! PBE PuTiPt2, optimized geometry; values from VASP
! Energy relative to the lowest polymorph listed for this composition (meV/atom): 0.0
! ΔE_f (eV per atom): -0.80
! Space group: P4/mmm, No. 123
&SYSTEM
  ibrav = 0, nat = 4, ntyp = 3
/
ATOMIC_SPECIES
Ti 47.87 Ti.upf
Pt 195.08 Pt.upf
Pu 244.00 Pu.upf
ATOMIC_POSITIONS crystal
Ti 0.500 0.500 0.000
Pt 0.000 0.000 0.800
Pt 0.000 0.000 0.200
Pu 0.500 0.500 0.500
CELL_PARAMETERS angstrom
-1.783 2.336 1.211
-0.409 -1.692 2.660
6.015 3.091 2.891